#A
# AlZn3P (GGA-PBEsol, optimized geometry)
# Calculated volume: 20.66 Å³/atom
data_AlZn3P
_cell_length_a 4.692
_cell_length_b 4.692
_cell_length_c 4.692
_cell_angle_alpha 90.00
_cell_angle_beta 90.00
_cell_angle_gamma 90.00
_symmetry_space_group_name_H-M 'P m -3 m'
_symmetry_Int_Tables_number 221
_symmetry_space_group_name_Hall '-P 4 2 3'
loop_
_atom_site_label
_atom_site_fract_x
_atom_site_fract_y
_atom_site_fract_z
Al1 0.000 0.000 0.000
Zn1 0.000 0.000 0.500
P1 0.500 0.500 0.500



#B
# AlZn3P (GGA-PBEsol, optimized geometry)
# Calculated volume: 19.75 Å³/atom
data_AlZn3P
_cell_length_a 4.622
_cell_length_b 4.622
_cell_length_c 4.622
_cell_angle_alpha 90.00
_cell_angle_beta 90.00
_cell_angle_gamma 90.00
_symmetry_space_group_name_H-M 'P m -3 m'
_symmetry_Int_Tables_number 221
_symmetry_space_group_name_Hall '-P 4 2 3'
loop_
_atom_site_label
_atom_site_fract_x
_atom_site_fract_y
_atom_site_fract_z
Al1 0.000 0.000 0.000
Zn1 0.000 0.500 0.500
P1 0.500 0.500 0.500



Decreasing stability: #B, #A



#A
# AlPb3 (GGA-PBEsol, optimized geometry)
# Calculated volume: 27.01 Å³/atom
data_AlPb3
_cell_length_a 3.4061
_cell_length_b 3.4061
_cell_length_c 32.2567
_cell_angle_alpha 90.00
_cell_angle_beta 90.00
_cell_angle_gamma 120.00
_symmetry_space_group_name_H-M 'R -3 m'
_symmetry_Int_Tables_number 166
_symmetry_space_group_name_Hall '-R 3 2"'
loop_
_atom_site_label
_atom_site_fract_x
_atom_site_fract_y
_atom_site_fract_z
Al1 0.0000 0.0000 0.0000
Pb1 0.0000 0.0000 0.2583
Pb2 0.0000 0.0000 0.5000



#B
# AlPb3 (GGA-PBEsol, optimized geometry)
# Calculated volume: 26.83 Å³/atom
data_AlPb3
_cell_length_a 3.501
_cell_length_b 5.546
_cell_length_c 11.054
_cell_angle_alpha 90.00
_cell_angle_beta 90.00
_cell_angle_gamma 90.00
_symmetry_space_group_name_H-M 'I m m m'
_symmetry_Int_Tables_number 71
_symmetry_space_group_name_Hall '-I 2 2'
loop_
_atom_site_label
_atom_site_fract_x
_atom_site_fract_y
_atom_site_fract_z
Al1 0.000 0.000 0.000
Pb1 0.000 0.000 0.500
Pb2 0.000 0.500 0.276



Decreasing stability: #A, #B



#A
# AlSbPb2 (GGA-PBEsol, optimized geometry)
# Calculated volume: 26.24 Å³/atom
data_AlSbPb2
_cell_length_a 7.488
_cell_length_b 7.488
_cell_length_c 7.488
_cell_angle_alpha 90.00
_cell_angle_beta 90.00
_cell_angle_gamma 90.00
_symmetry_space_group_name_H-M 'F -4 3 m'
_symmetry_Int_Tables_number 216
_symmetry_space_group_name_Hall 'F -4 2 3'
loop_
_atom_site_label
_atom_site_fract_x
_atom_site_fract_y
_atom_site_fract_z
Al1 0.000 0.000 0.000
Sb1 0.250 0.250 0.250
Pb1 0.000 0.000 0.500
Pb2 0.250 0.250 0.750



#B
# AlSbPb2 (GGA-PBEsol, optimized geometry)
# Calculated volume: 25.93 Å³/atom
data_AlSbPb2
_cell_length_a 3.454
_cell_length_b 3.746
_cell_length_c 8.013
_cell_angle_alpha 90.00
_cell_angle_beta 90.00
_cell_angle_gamma 90.00
_symmetry_space_group_name_H-M 'P m m 2'
_symmetry_Int_Tables_number 25
_symmetry_space_group_name_Hall 'P 2 -2'
loop_
_atom_site_label
_atom_site_fract_x
_atom_site_fract_y
_atom_site_fract_z
Al1 0.000 0.000 0.000
Sb1 0.500 0.500 0.817
Pb1 0.000 0.000 0.541
Pb2 0.500 0.500 0.246



#C
# AlSbPb2 (GGA-PBEsol, optimized geometry)
# Calculated volume: 26.50 Å³/atom
data_AlSbPb2
_cell_length_a 4.761
_cell_length_b 4.761
_cell_length_c 9.354
_cell_angle_alpha 90.00
_cell_angle_beta 90.00
_cell_angle_gamma 90.00
_symmetry_space_group_name_H-M 'I -4 m 2'
_symmetry_Int_Tables_number 119
_symmetry_space_group_name_Hall 'I -4 -2'
loop_
_atom_site_label
_atom_site_fract_x
_atom_site_fract_y
_atom_site_fract_z
Al1 0.000 0.000 0.000
Sb1 0.000 0.500 0.750
Pb1 0.000 0.000 0.500
Pb2 0.000 0.500 0.250



Decreasing stability: #B, #C, #A



#A
# AlSi2Pb (GGA-PBEsol, optimized geometry)
# Calculated volume: 25.84 Å³/atom
data_AlSi2Pb
_cell_length_a 5.846
_cell_length_b 5.846
_cell_length_c 12.097
_cell_angle_alpha 90.00
_cell_angle_beta 90.00
_cell_angle_gamma 90.00
_symmetry_space_group_name_H-M 'I -4 2 d'
_symmetry_Int_Tables_number 122
_symmetry_space_group_name_Hall 'I -4 2bw'
loop_
_atom_site_label
_atom_site_fract_x
_atom_site_fract_y
_atom_site_fract_z
Al1 0.000 0.000 0.000
Si1 0.219 0.250 0.125
Pb1 0.000 0.000 0.500



#B
# AlSi2Pb (GGA-PBEsol, optimized geometry)
# Calculated volume: 21.22 Å³/atom
data_AlSi2Pb
_cell_length_a 3.597
_cell_length_b 4.509
_cell_length_c 5.236
_cell_angle_alpha 90.00
_cell_angle_beta 91.85
_cell_angle_gamma 90.00
_symmetry_space_group_name_H-M 'P 1 2/m 1'
_symmetry_Int_Tables_number 10
_symmetry_space_group_name_Hall '-P 2y'
loop_
_atom_site_label
_atom_site_fract_x
_atom_site_fract_y
_atom_site_fract_z
Al1 0.000 0.000 0.000
Si1 0.253 0.500 0.844
Pb1 0.500 0.000 0.500



#C
# AlSi2Pb (GGA-PBEsol, optimized geometry)
# Calculated volume: 19.67 Å³/atom
data_AlSi2Pb
_cell_length_a 3.1378
_cell_length_b 3.1378
_cell_length_c 27.6764
_cell_angle_alpha 90.00
_cell_angle_beta 90.00
_cell_angle_gamma 120.00
_symmetry_space_group_name_H-M 'R -3 m'
_symmetry_Int_Tables_number 166
_symmetry_space_group_name_Hall '-R 3 2"'
loop_
_atom_site_label
_atom_site_fract_x
_atom_site_fract_y
_atom_site_fract_z
Al1 0.0000 0.0000 0.0000
Si1 0.0000 0.0000 0.2633
Pb1 0.0000 0.0000 0.5000



Decreasing stability: #B, #C, #A



#A
# AlTc2Pb (GGA-PBEsol, optimized geometry)
# Calculated volume: 17.14 Å³/atom
data_AlTc2Pb
_cell_length_a 2.9744
_cell_length_b 2.9744
_cell_length_c 26.8457
_cell_angle_alpha 90.00
_cell_angle_beta 90.00
_cell_angle_gamma 120.00
_symmetry_space_group_name_H-M 'R 3 m'
_symmetry_Int_Tables_number 160
_symmetry_space_group_name_Hall 'R 3 -2"'
loop_
_atom_site_label
_atom_site_fract_x
_atom_site_fract_y
_atom_site_fract_z
Al1 0.0000 0.0000 0.0000
Tc1 0.0000 0.0000 0.2604
Tc2 0.0000 0.0000 0.5215
Pb1 0.0000 0.0000 0.7658



#B
# AlTc2Pb (GGA-PBEsol, optimized geometry)
# Calculated volume: 16.20 Å³/atom
data_AlTc2Pb
_cell_length_a 3.190
_cell_length_b 4.383
_cell_length_c 9.270
_cell_angle_alpha 90.00
_cell_angle_beta 90.00
_cell_angle_gamma 90.00
_symmetry_space_group_name_H-M 'I m m 2'
_symmetry_Int_Tables_number 44
_symmetry_space_group_name_Hall 'I 2 -2'
loop_
_atom_site_label
_atom_site_fract_x
_atom_site_fract_y
_atom_site_fract_z
Al1 0.000 0.000 0.000
Tc1 0.000 0.000 0.534
Tc2 0.000 0.500 0.273
Pb1 0.000 0.500 0.772



Decreasing stability: #A, #B



#A
# AlTePb2 (GGA-PBEsol, optimized geometry)
# Calculated volume: 27.05 Å³/atom
data_AlTePb2
_cell_length_a 5.327
_cell_length_b 5.327
_cell_length_c 3.813
_cell_angle_alpha 90.00
_cell_angle_beta 90.00
_cell_angle_gamma 90.00
_symmetry_space_group_name_H-M 'P 4/m m m'
_symmetry_Int_Tables_number 123
_symmetry_space_group_name_Hall '-P 4 2'
loop_
_atom_site_label
_atom_site_fract_x
_atom_site_fract_y
_atom_site_fract_z
Al1 0.000 0.000 0.000
Te1 0.500 0.500 0.000
Pb1 0.000 0.500 0.500



#B
# AlTePb2 (GGA-PBEsol, optimized geometry)
# Calculated volume: 26.91 Å³/atom
data_AlTePb2
_cell_length_a 3.2893
_cell_length_b 3.2893
_cell_length_c 34.4668
_cell_angle_alpha 90.00
_cell_angle_beta 90.00
_cell_angle_gamma 120.00
_symmetry_space_group_name_H-M 'R -3 m'
_symmetry_Int_Tables_number 166
_symmetry_space_group_name_Hall '-R 3 2"'
loop_
_atom_site_label
_atom_site_fract_x
_atom_site_fract_y
_atom_site_fract_z
Al1 0.0000 0.0000 0.0000
Te1 0.0000 0.0000 0.5000
Pb1 0.0000 0.0000 0.2588



Decreasing stability: #A, #B



#A
# Al2TePb (GGA-PBEsol, optimized geometry)
# Calculated volume: 24.36 Å³/atom
data_Al2TePb
_cell_length_a 7.304
_cell_length_b 7.304
_cell_length_c 7.304
_cell_angle_alpha 90.00
_cell_angle_beta 90.00
_cell_angle_gamma 90.00
_symmetry_space_group_name_H-M 'F -4 3 m'
_symmetry_Int_Tables_number 216
_symmetry_space_group_name_Hall 'F -4 2 3'
loop_
_atom_site_label
_atom_site_fract_x
_atom_site_fract_y
_atom_site_fract_z
Al1 0.000 0.000 0.000
Al2 0.250 0.250 0.250
Te1 0.000 0.000 0.500
Pb1 0.250 0.250 0.750



#B
# Al2TePb (GGA-PBEsol, optimized geometry)
# Calculated volume: 23.68 Å³/atom
data_Al2TePb
_cell_length_a 3.139
_cell_length_b 3.139
_cell_length_c 9.615
_cell_angle_alpha 90.00
_cell_angle_beta 90.00
_cell_angle_gamma 90.00
_symmetry_space_group_name_H-M 'P 4 m m'
_symmetry_Int_Tables_number 99
_symmetry_space_group_name_Hall 'P 4 -2'
loop_
_atom_site_label
_atom_site_fract_x
_atom_site_fract_y
_atom_site_fract_z
Al1 0.000 0.000 0.000
Al2 0.500 0.500 0.184
Te1 0.500 0.500 0.764
Pb1 0.000 0.000 0.422



Decreasing stability: #B, #A



#A
# AlTePb3 (GGA-PBEsol, optimized geometry)
# Calculated volume: 31.22 Å³/atom
data_AlTePb3
_cell_length_a 5.384
_cell_length_b 5.384
_cell_length_c 5.384
_cell_angle_alpha 90.00
_cell_angle_beta 90.00
_cell_angle_gamma 90.00
_symmetry_space_group_name_H-M 'P m -3 m'
_symmetry_Int_Tables_number 221
_symmetry_space_group_name_Hall '-P 4 2 3'
loop_
_atom_site_label
_atom_site_fract_x
_atom_site_fract_y
_atom_site_fract_z
Al1 0.000 0.000 0.000
Te1 0.500 0.500 0.500
Pb1 0.000 0.000 0.500



#B
# AlTePb3 (GGA-PBEsol, optimized geometry)
# Calculated volume: 40.54 Å³/atom
data_AlTePb3
_cell_length_a 5.874
_cell_length_b 5.874
_cell_length_c 5.874
_cell_angle_alpha 90.00
_cell_angle_beta 90.00
_cell_angle_gamma 90.00
_symmetry_space_group_name_H-M 'P m -3 m'
_symmetry_Int_Tables_number 221
_symmetry_space_group_name_Hall '-P 4 2 3'
loop_
_atom_site_label
_atom_site_fract_x
_atom_site_fract_y
_atom_site_fract_z
Al1 0.000 0.000 0.000
Te1 0.500 0.500 0.500
Pb1 0.000 0.500 0.500



Decreasing stability: #A, #B



#A
# Al2PbW (GGA-PBEsol, optimized geometry)
# Calculated volume: 19.49 Å³/atom
data_Al2PbW
_cell_length_a 2.9579
_cell_length_b 2.9579
_cell_length_c 30.8629
_cell_angle_alpha 90.00
_cell_angle_beta 90.00
_cell_angle_gamma 120.00
_symmetry_space_group_name_H-M 'R 3 m'
_symmetry_Int_Tables_number 160
_symmetry_space_group_name_Hall 'R 3 -2"'
loop_
_atom_site_label
_atom_site_fract_x
_atom_site_fract_y
_atom_site_fract_z
Al1 0.0000 0.0000 0.0000
Al2 0.0000 0.0000 0.2585
Pb1 0.0000 0.0000 0.7730
W1 0.0000 0.0000 0.5228



#B
# Al2PbW (GGA-PBEsol, optimized geometry)
# Calculated volume: 19.04 Å³/atom
data_Al2PbW
_cell_length_a 2.970
_cell_length_b 2.970
_cell_length_c 8.631
_cell_angle_alpha 90.00
_cell_angle_beta 90.00
_cell_angle_gamma 90.00
_symmetry_space_group_name_H-M 'P 4/m m m'
_symmetry_Int_Tables_number 123
_symmetry_space_group_name_Hall '-P 4 2'
loop_
_atom_site_label
_atom_site_fract_x
_atom_site_fract_y
_atom_site_fract_z
Al1 0.000 0.000 0.201
Pb1 0.500 0.500 0.500
W1 0.500 0.500 0.000



Decreasing stability: #B, #A



#A
# AlPb2W (GGA-PBEsol, optimized geometry)
# Calculated volume: 21.61 Å³/atom
data_AlPb2W
_cell_length_a 3.061
_cell_length_b 4.910
_cell_length_c 5.864
_cell_angle_alpha 90.00
_cell_angle_beta 101.27
_cell_angle_gamma 90.00
_symmetry_space_group_name_H-M 'P 1 2/m 1'
_symmetry_Int_Tables_number 10
_symmetry_space_group_name_Hall '-P 2y'
loop_
_atom_site_label
_atom_site_fract_x
_atom_site_fract_y
_atom_site_fract_z
Al1 0.000 0.000 0.000
Pb1 0.372 0.500 0.742
W1 0.000 0.000 0.500



#B
# AlPb2W (GGA-PBEsol, optimized geometry)
# Calculated volume: 20.97 Å³/atom
data_AlPb2W
_cell_length_a 4.276
_cell_length_b 4.276
_cell_length_c 9.172
_cell_angle_alpha 90.00
_cell_angle_beta 90.00
_cell_angle_gamma 90.00
_symmetry_space_group_name_H-M 'I -4 m 2'
_symmetry_Int_Tables_number 119
_symmetry_space_group_name_Hall 'I -4 -2'
loop_
_atom_site_label
_atom_site_fract_x
_atom_site_fract_y
_atom_site_fract_z
Al1 0.000 0.000 0.000
Pb1 0.000 0.000 0.500
Pb2 0.000 0.500 0.250
W1 0.000 0.500 0.750



#C
# AlPb2W (GGA-PBEsol, optimized geometry)
# Calculated volume: 21.21 Å³/atom
data_AlPb2W
_cell_length_a 6.074
_cell_length_b 10.308
_cell_length_c 3.068
_cell_angle_alpha 90.00
_cell_angle_beta 117.93
_cell_angle_gamma 90.00
_symmetry_space_group_name_H-M 'C 1 2/m 1'
_symmetry_Int_Tables_number 12
_symmetry_space_group_name_Hall '-C 2y'
loop_
_atom_site_label
_atom_site_fract_x
_atom_site_fract_y
_atom_site_fract_z
Al1 0.000 0.000 0.000
Pb1 0.250 0.250 0.000
W1 0.000 0.500 0.000



Decreasing stability: #A, #C, #B